1.
4
Lattice="1.963 1.133 8.053 -1.963 1.133 8.053 0.000 -2.266 8.053" Properties=species:S:1:pos:R:3 comment="PmPaAu2 PBE optimized geometry" magmom_total_mub_per_cell=0.707 relative_energy_kj_per_mol_atoms=13.6 pbc="T T T"
Pm 0.000 0.000 0.000
Pa 0.000 0.000 12.080
Au 0.000 0.000 5.944
Au 0.000 0.000 18.216

***

2.
4
Lattice="0.000 3.647 3.647 3.647 0.000 3.647 3.647 3.647 0.000" Properties=species:S:1:pos:R:3 comment="PmPaAu2 PBE optimized geometry" magmom_total_mub_per_cell=1.073 relative_energy_kj_per_mol_atoms=4.9 pbc="T T T"
Pm 0.000 0.000 0.000
Pa 3.647 3.647 3.647
Au 1.824 1.824 1.824
Au 5.471 5.471 5.471

***

3.
4
Lattice="3.509 0.000 0.000 0.000 3.509 0.000 0.000 0.000 7.861" Properties=species:S:1:pos:R:3 comment="PmPaAu2 PBE optimized geometry" magmom_total_mub_per_cell=1.469 relative_energy_kj_per_mol_atoms=0.0 pbc="T T T"
Pm 0.000 0.000 0.000
Pa 0.000 0.000 3.930
Au 1.755 1.755 2.002
Au 1.755 1.755 5.859

***

4.
11
Lattice="3.986 -7.640 0.000 3.986 7.640 0.000 -3.343 0.000 3.941" Properties=species:S:1:pos:R:3 comment="PmPa2Au8 PBE optimized geometry" dft_energy_ev_per_atom=-5.028 magmom_total_mub_per_cell=0.000 pbc="T T T"
Pm 0.000 0.000 0.000
Pa 2.314 2.781 1.970
Pa 2.314 -2.781 1.970
Au -0.617 2.105 2.879
Au 3.986 4.541 0.000
Au -0.617 -2.105 2.879
Au 1.462 0.000 2.947
Au 3.167 0.000 0.993
Au 5.245 2.105 1.061
Au 3.986 -4.541 0.000
Au 5.245 -2.105 1.061

***

5.
4
Lattice="0.000 3.559 3.559 3.559 0.000 3.559 3.559 3.559 0.000" Properties=species:S:1:pos:R:3 comment="PmPaReAu PBE optimized geometry" dft_energy_ev_per_atom=-7.532 magmom_total_mub_per_cell=0.000 pbc="T T T"
Pm 0.000 0.000 0.000
Pa 3.559 3.559 3.559
Re 1.779 1.779 1.779
Au 5.338 5.338 5.338

***

6.
4
Lattice="0.000 3.549 3.549 3.549 0.000 3.549 3.549 3.549 0.000" Properties=species:S:1:pos:R:3 comment="PmPaRuAu PBE optimized geometry" dft_energy_ev_per_atom=-6.984 magmom_total_mub_per_cell=0.012 pbc="T T T"
Pm 0.000 0.000 0.000
Pa 3.549 3.549 3.549
Ru 1.774 1.774 1.774
Au 5.323 5.323 5.323